Record 1
# PmTh2Zr | the Alexandria database | PBE | relaxed
# Energy above the lowest structure with this stoichiometry (meV per atom): 143
# Crystal system: trigonal
# Calculated formation energy (eV/atom): 0.25
# Volume (Å³ per atom): 30.58
data_PmTh2Zr
_cell_length_a 3.409
_cell_length_b 3.409
_cell_length_c 12.312
_cell_angle_alpha 82.04
_cell_angle_beta 82.04
_cell_angle_gamma 60.00
_symmetry_space_group_name_H-M 'P 1'
_symmetry_Int_Tables_number 1
_symmetry_space_group_name_Hall 'P 1'
loop_
_atom_site_label
_atom_site_fract_x
_atom_site_fract_y
_atom_site_fract_z
_atom_site_occupancy
Zr1 0.500 0.500 0.500 1
Th1 0.090 0.090 0.729 1
Th2 0.910 0.910 0.271 1
Pm1 0.000 0.000 0.000 1


Record 2
# Pm14ThZr | the Alexandria database | PBE | relaxed
# Crystal system: tetragonal
# Calculated formation energy (eV/atom): 0.05
# Volume (Å³ per atom): 33.36
data_Pm14ThZr
_cell_length_a 7.213
_cell_length_b 7.213
_cell_length_c 10.259
_cell_angle_alpha 90.00
_cell_angle_beta 90.00
_cell_angle_gamma 90.00
_symmetry_space_group_name_H-M 'P 1'
_symmetry_Int_Tables_number 1
_symmetry_space_group_name_Hall 'P 1'
loop_
_atom_site_label
_atom_site_fract_x
_atom_site_fract_y
_atom_site_fract_z
_atom_site_occupancy
Pm1 0.375 0.625 0.500 1
Pm2 0.875 0.125 0.500 1
Pm3 0.875 0.625 0.000 1
Pm4 0.875 0.625 0.500 1
Pm5 0.375 0.125 0.000 1
Pm6 0.375 0.125 0.500 1
Pm7 0.629 0.879 0.758 1
Pm8 0.629 0.879 0.242 1
Pm9 0.121 0.371 0.758 1
Pm10 0.121 0.371 0.242 1
Pm11 0.121 0.879 0.758 1
Pm12 0.121 0.879 0.242 1
Pm13 0.629 0.371 0.758 1
Pm14 0.629 0.371 0.242 1
Th1 0.375 0.625 0.000 1
Zr1 0.875 0.125 0.000 1


Record 3
# PmTh2Zr | the Alexandria database | PBE | relaxed
# Energy above the lowest structure with this stoichiometry (meV per atom): 68
# Crystal system: cubic
# Calculated formation energy (eV/atom): 0.17
# Volume (Å³ per atom): 29.77
data_PmTh2Zr
_cell_length_a 5.522
_cell_length_b 5.522
_cell_length_c 5.522
_cell_angle_alpha 60.00
_cell_angle_beta 60.00
_cell_angle_gamma 60.00
_symmetry_space_group_name_H-M 'P 1'
_symmetry_Int_Tables_number 1
_symmetry_space_group_name_Hall 'P 1'
loop_
_atom_site_label
_atom_site_fract_x
_atom_site_fract_y
_atom_site_fract_z
_atom_site_occupancy
Zr1 0.500 0.500 0.500 1
Th1 0.250 0.250 0.250 1
Th2 0.750 0.750 0.750 1
Pm1 0.000 0.000 0.000 1


Record 4
# Pm3Ti | the Alexandria database | PBE | relaxed
# Energy above the lowest structure with this stoichiometry (meV per atom): 1
# Crystal system: cubic
# Calculated formation energy (eV/atom): 0.24
# Volume (Å³ per atom): 29.22
data_Pm3Ti
_cell_length_a 4.890
_cell_length_b 4.890
_cell_length_c 4.890
_cell_angle_alpha 90.00
_cell_angle_beta 90.00
_cell_angle_gamma 90.00
_symmetry_space_group_name_H-M 'P 1'
_symmetry_Int_Tables_number 1
_symmetry_space_group_name_Hall 'P 1'
loop_
_atom_site_label
_atom_site_fract_x
_atom_site_fract_y
_atom_site_fract_z
_atom_site_occupancy
Pm1 0.000 0.500 0.500 1
Pm2 0.500 0.000 0.500 1
Pm3 0.500 0.500 0.000 1
Ti1 0.000 0.000 0.000 1


Record 5
# Pm3Ti | the Alexandria database | PBE | relaxed
# Energy above the lowest structure with this stoichiometry (meV per atom): 140
# Crystal system: orthorhombic
# Calculated formation energy (eV/atom): 0.38
# Volume (Å³ per atom): 30.39
data_Pm3Ti
_cell_length_a 3.366
_cell_length_b 3.346
_cell_length_c 10.795
_cell_angle_alpha 90.00
_cell_angle_beta 90.00
_cell_angle_gamma 90.00
_symmetry_space_group_name_H-M 'P 1'
_symmetry_Int_Tables_number 1
_symmetry_space_group_name_Hall 'P 1'
loop_
_atom_site_label
_atom_site_fract_x
_atom_site_fract_y
_atom_site_fract_z
_atom_site_occupancy
Ti1 0.000 0.000 0.970 1
Pm1 0.000 0.500 0.470 1
Pm2 0.500 0.500 0.167 1
Pm3 0.500 0.000 0.727 1


Record 6
# Pm5Ti | the Alexandria database | PBE | relaxed
# Crystal system: orthorhombic
# Calculated formation energy (eV/atom): 0.16
# Volume (Å³ per atom): 30.96
data_Pm5Ti
_cell_length_a 4.973
_cell_length_b 4.949
_cell_length_c 7.943
_cell_angle_alpha 108.15
_cell_angle_beta 90.00
_cell_angle_gamma 90.00
_symmetry_space_group_name_H-M 'P 1'
_symmetry_Int_Tables_number 1
_symmetry_space_group_name_Hall 'P 1'
loop_
_atom_site_label
_atom_site_fract_x
_atom_site_fract_y
_atom_site_fract_z
_atom_site_occupancy
Pm1 0.000 0.658 0.315 1
Pm2 0.000 0.342 0.685 1
Pm3 0.500 0.500 0.000 1
Pm4 0.500 0.160 0.319 1
Pm5 0.500 0.840 0.681 1
Ti1 0.000 0.000 0.000 1


Record 7
# PmTi5 | the Alexandria database | PBE | relaxed
# Crystal system: orthorhombic
# Calculated formation energy (eV/atom): 0.22
# Volume (Å³ per atom): 19.47
data_PmTi5
_cell_length_a 4.265
_cell_length_b 4.202
_cell_length_c 6.849
_cell_angle_alpha 107.87
_cell_angle_beta 90.00
_cell_angle_gamma 90.00
_symmetry_space_group_name_H-M 'P 1'
_symmetry_Int_Tables_number 1
_symmetry_space_group_name_Hall 'P 1'
loop_
_atom_site_label
_atom_site_fract_x
_atom_site_fract_y
_atom_site_fract_z
_atom_site_occupancy
Pm1 0.000 0.000 0.000 1
Ti1 0.500 0.824 0.649 1
Ti2 0.000 0.678 0.356 1
Ti3 0.500 0.500 0.000 1
Ti4 0.000 0.322 0.644 1
Ti5 0.500 0.176 0.351 1


Record 8
# Pm3Ti | the Alexandria database | PBE | relaxed
# Energy above the lowest structure with this stoichiometry (meV per atom): 0
# Crystal system: orthorhombic
# Calculated formation energy (eV/atom): 0.24
# Volume (Å³ per atom): 30.26
data_Pm3Ti
_cell_length_a 3.817
_cell_length_b 5.579
_cell_length_c 6.613
_cell_angle_alpha 114.95
_cell_angle_beta 106.77
_cell_angle_gamma 90.00
_symmetry_space_group_name_H-M 'P 1'
_symmetry_Int_Tables_number 1
_symmetry_space_group_name_Hall 'P 1'
loop_
_atom_site_label
_atom_site_fract_x
_atom_site_fract_y
_atom_site_fract_z
_atom_site_occupancy
Ti1 0.000 0.914 0.000 1
Pm1 0.283 0.702 0.566 1
Pm2 0.500 0.415 0.000 1
Pm3 0.717 0.135 0.434 1